#w
A relaxed structure of LaBeFe. Source: the Alexandria database, functional PBE.

Spin magnetization in μB/cell: 0.0

Cell lengths 5.3839, 5.3839, 5.3839 Å; angles 145.84, 145.84, 49.08 degrees
With the nearest neighbours (Å) after each atom.
Sites, in units of the cell vectors:
1 La 0.0000 0.0000 0.0000  1 Fe 2.43
2 Be 0.2860 0.2860 0.0000  4 Fe 2.26
3 Fe 0.7517 0.7517 0.0000  4 Be 2.26, 1 La 2.43

#x
A relaxed structure of LaBeFe. Source: the Alexandria database, functional PBE.

Spin magnetization in μB/cell: 1.9

Cell lengths 4.4441, 4.4441, 4.4441 Å; angles 60.00, 60.00, 60.00 degrees
With the nearest neighbours (Å) after each atom.
Sites, in units of the cell vectors:
1 La 0.0000 0.0000 0.0000  4 Be 2.72
2 Be 0.7500 0.7500 0.7500  4 La 2.72, 4 Fe 2.72
3 Fe 0.5000 0.5000 0.5000  4 Be 2.72

#y
A relaxed structure of LaBeFe. Source: the Alexandria database, functional PBE.

Spin magnetization in μB/cell: 1.0

Cell lengths 4.3234, 4.3234, 4.3234 Å; angles 60.00, 60.00, 60.00 degrees
With the nearest neighbours (Å) after each atom.
Sites, in units of the cell vectors:
1 La 0.0000 0.0000 0.0000  4 Fe 2.65
2 Be 0.5000 0.5000 0.5000  4 Fe 2.65
3 Fe 0.2500 0.2500 0.2500  4 Be 2.65, 4 La 2.65

#z
A relaxed structure of LaBeFe. Source: the Alexandria database, functional PBE.

Spin magnetization in μB/cell: 0.9

Cell lengths 3.9413, 3.9413, 4.1534 Å; angles 90.00, 90.00, 120.00 degrees
With the nearest neighbours (Å) after each atom.
Sites, in units of the cell vectors:
1 La 0.0000 0.0000 0.0000  6 Be 3.08, 6 Fe 3.08
2 Be 0.6667 0.3333 0.5000  3 Fe 2.28
3 Fe 0.3333 0.6667 0.5000  3 Be 2.28

Ranking the structures above from most stable to least stable yields #z, #w, #y, #x.